(1)
{
  "formula": "LiMnNiRu",
  "functional": "PBE",
  "state": "relaxed",
  "e_form_ev_per_atom": 0.054,
  "lattice": [[5.7323, 0.0000, 0.0000], [0.0000, 5.7323, 0.0000], [0.0000, 0.0000, 5.7323]],
  "species": ["Li", "Li", "Li", "Li", "Mn", "Mn", "Mn", "Mn", "Ni", "Ni", "Ni", "Ni", "Ru", "Ru", "Ru", "Ru"],
  "frac_coords": [[0.0000, 0.0000, 0.0000], [0.0000, 0.5000, 0.5000], [0.5000, 0.0000, 0.5000], [0.5000, 0.5000, 0.0000], [0.0000, 0.0000, 0.5000], [0.0000, 0.5000, 0.0000], [0.5000, 0.0000, 0.0000], [0.5000, 0.5000, 0.5000], [0.2500, 0.2500, 0.7500], [0.2500, 0.7500, 0.2500], [0.7500, 0.2500, 0.2500], [0.7500, 0.7500, 0.7500], [0.2500, 0.2500, 0.2500], [0.2500, 0.7500, 0.7500], [0.7500, 0.2500, 0.7500], [0.7500, 0.7500, 0.2500]]
}


(2)
{
  "formula": "TbGa2Ir",
  "functional": "PBE",
  "state": "relaxed",
  "e_form_ev_per_atom": -0.563,
  "lattice": [[6.5397, 0.0000, 0.0000], [0.0000, 6.5397, 0.0000], [0.0000, 0.0000, 6.5397]],
  "species": ["Tb", "Tb", "Tb", "Tb", "Ga", "Ga", "Ga", "Ga", "Ga", "Ga", "Ga", "Ga", "Ir", "Ir", "Ir", "Ir"],
  "frac_coords": [[0.0000, 0.0000, 0.0000], [0.0000, 0.5000, 0.5000], [0.5000, 0.0000, 0.5000], [0.5000, 0.5000, 0.0000], [0.2500, 0.2500, 0.2500], [0.2500, 0.2500, 0.7500], [0.2500, 0.7500, 0.2500], [0.2500, 0.7500, 0.7500], [0.7500, 0.2500, 0.2500], [0.7500, 0.2500, 0.7500], [0.7500, 0.7500, 0.2500], [0.7500, 0.7500, 0.7500], [0.0000, 0.0000, 0.5000], [0.0000, 0.5000, 0.0000], [0.5000, 0.0000, 0.0000], [0.5000, 0.5000, 0.5000]]
}


(3)
{
  "formula": "Np5Sb2H3",
  "functional": "PBE",
  "state": "relaxed",
  "energy_ev_per_atom": -8.44,
  "lattice": [[-4.3814, 6.2659, 3.1025], [4.3814, -6.2659, 3.1025], [4.3814, 6.2659, -3.1025]],
  "species": ["Np", "Np", "Np", "Np", "Np", "Np", "Np", "Np", "Np", "Np", "Sb", "Sb", "Sb", "Sb", "H", "H", "H", "H", "H", "H"],
  "frac_coords": [[0.0023, 0.7500, 0.2523], [0.1203, 0.6103, 0.7306], [0.2500, 0.2500, 0.0000], [0.3797, 0.1103, 0.4900], [0.4977, 0.7500, 0.7477], [0.5023, 0.2500, 0.2523], [0.6203, 0.8897, 0.5100], [0.7500, 0.7500, 0.0000], [0.8797, 0.3897, 0.2695], [0.9977, 0.2500, 0.7477], [0.1250, 0.2523, 0.3773], [0.3750, 0.7523, 0.1273], [0.6250, 0.2477, 0.8727], [0.8750, 0.7477, 0.6227], [0.1244, 0.8941, 0.0185], [0.2500, 0.7500, 0.5000], [0.3756, 0.3941, 0.7697], [0.6244, 0.6059, 0.2303], [0.7500, 0.2500, 0.5000], [0.8756, 0.1059, 0.9815]]
}


(4)
{
  "formula": "In4CuPt",
  "functional": "PBE",
  "state": "relaxed",
  "de_polymorph_mev_per_atom": 0,
  "e_form_ev_per_atom": -0.263,
  "lattice": [[4.5681, 0.0000, 0.0000], [0.0000, 4.5681, 0.0000], [0.0000, 0.0000, 6.4333]],
  "species": ["In", "In", "In", "In", "Cu", "Pt"],
  "frac_coords": [[0.0000, 0.5000, 0.2462], [0.0000, 0.5000, 0.7538], [0.5000, 0.0000, 0.2462], [0.5000, 0.0000, 0.7538], [0.0000, 0.0000, 0.0000], [0.5000, 0.5000, 0.5000]]
}


What did the first record say?
{
  "formula": "LiMnNiRu",
  "functional": "PBE",
  "state": "relaxed",
  "e_form_ev_per_atom": 0.054,
  "lattice": [[5.7323, 0.0000, 0.0000], [0.0000, 5.7323, 0.0000], [0.0000, 0.0000, 5.7323]],
  "species": ["Li", "Li", "Li", "Li", "Mn", "Mn", "Mn", "Mn", "Ni", "Ni", "Ni", "Ni", "Ru", "Ru", "Ru", "Ru"],
  "frac_coords": [[0.0000, 0.0000, 0.0000], [0.0000, 0.5000, 0.5000], [0.5000, 0.0000, 0.5000], [0.5000, 0.5000, 0.0000], [0.0000, 0.0000, 0.5000], [0.0000, 0.5000, 0.0000], [0.5000, 0.0000, 0.0000], [0.5000, 0.5000, 0.5000], [0.2500, 0.2500, 0.7500], [0.2500, 0.7500, 0.2500], [0.7500, 0.2500, 0.2500], [0.7500, 0.7500, 0.7500], [0.2500, 0.2500, 0.2500], [0.2500, 0.7500, 0.7500], [0.7500, 0.2500, 0.7500], [0.7500, 0.7500, 0.2500]]
}